(1)
The following is a PBE calculation of crystalline CsZn2SnBr8 at its relaxed geometry, from Alexandria.

Computed properties:
Fermi-level density of states	0.5764	states/eV/atom
total magnetization	0.00	μB per formula unit
DFT total energy	-2.662	eV/atom
crystal system	trigonal
formation energy (no corrections)	-0.9296	eV per atom
symmetry	R-3, No. 148

Lattice parameters (Å, degrees): 6.8639 6.8639 11.4691 72.59 72.59 60.00
Closest atoms and distances in Å follow each position.
Fractional coordinates of all 12 atoms:
Cs: 0.5000 0.5000 0.5000  12 Br 4.00-4.33
Zn: 0.2570 0.2570 0.2291  4 Br 2.37-2.47
Zn: 0.7430 0.7430 0.7709  4 Br 2.37-2.47
Sn: 0.0000 0.0000 0.0000  6 Br 2.84
Br: 0.1837 0.1837 0.4490  1 Zn 2.37
Br: 0.6196 0.2874 0.1556  1 Zn 2.47
Br: 0.8163 0.8163 0.5510  1 Zn 2.37
Br: 0.9374 0.6196 0.1556  1 Zn 2.47
Br: 0.0626 0.3804 0.8444  1 Zn 2.47
Br: 0.2874 0.9374 0.1556  1 Zn 2.47
Br: 0.7126 0.0626 0.8444  1 Zn 2.47
Br: 0.3804 0.7126 0.8444  1 Zn 2.47

---

(2)
The following is a PBE calculation of crystalline CsSrBr2 at its relaxed geometry, from Alexandria.

Computed properties:
Fermi-level density of states	0.4058	states/eV/atom
total magnetization	0.00	μB per formula unit
DFT total energy	-3.016	eV/atom
crystal system	trigonal
formation energy (no corrections)	-1.5454	eV per atom
E above lowest polymorph	0.0	meV per atom
symmetry	R-3m, No. 166

Lattice parameters (Å, degrees): 10.8040 10.8040 10.8040 26.03 26.03 26.03
Closest atoms and distances in Å follow each position.
Fractional coordinates of all 4 atoms:
Cs: 0.0000 0.0000 0.0000  2 Br 3.77
Sr: 0.5000 0.5000 0.5000  6 Br 3.16
Br: 0.8796 0.8796 0.8796  3 Sr 3.16
Br: 0.1204 0.1204 0.1204  3 Sr 3.16

---

(3)
The following is a PBE calculation of crystalline Cs3SrBr6 at its relaxed geometry, from Alexandria.

Computed properties:
Fermi-level density of states	2.0850	states/eV/atom
total magnetization	1.00	μB per formula unit
DFT total energy	-2.990	eV/atom
crystal system	cubic
formation energy (no corrections)	-1.5622	eV per atom
symmetry	Fm-3m, No. 225

Lattice parameters (Å, degrees): 9.0880 9.0880 9.0880 60.00 60.00 90.00
Closest atoms and distances in Å follow each position.
Fractional coordinates of all 10 atoms:
Cs: 0.7500 0.2500 0.5000  12 Br 4.55
Cs: 0.2500 0.7500 0.5000  12 Br 4.55
Cs: 0.0000 0.0000 0.0000  6 Br 3.43
Sr: 0.5000 0.5000 0.0000  6 Br 3.00
Br: 0.2667 0.2667 0.4667  1 Sr 3.00
Br: 0.7333 0.7333 0.5333  1 Sr 3.00
Br: 0.2667 0.2667 0.0000  1 Sr 3.00
Br: 0.7333 0.7333 0.0000  1 Sr 3.00
Br: 0.7333 0.2667 0.0000  1 Sr 3.00
Br: 0.2667 0.7333 0.0000  1 Sr 3.00

---

(4)
The following is a PBE calculation of crystalline Cs5SrBr6 at its relaxed geometry, from Alexandria.

Computed properties:
Fermi-level density of states	0.2100	states/eV/atom
total magnetization	0.00	μB per formula unit
DFT total energy	-3.042	eV/atom
crystal system	monoclinic
formation energy (no corrections)	-1.7101	eV per atom
symmetry	C2/m, No. 12

Lattice parameters (Å, degrees): 9.0470 8.9847 8.9810 59.99 80.63 71.00
Closest atoms and distances in Å follow each position.
Fractional coordinates of all 12 atoms:
Cs: 0.5000 0.1661 0.6677  4 Br 3.70-3.71
Cs: 0.0000 0.3336 0.3329  6 Br 3.70-3.73
Cs: 0.5000 0.5000 0.0000  4 Br 3.73
Cs: 0.0000 0.6664 0.6671  6 Br 3.70-3.73
Cs: 0.5000 0.8339 0.3323  4 Br 3.70-3.71
Sr: 0.0000 0.0000 0.0000  6 Br 3.14-3.15
Br: 0.7873 0.0711 0.2840  1 Sr 3.14
Br: 0.2127 0.6449 0.2840  1 Sr 3.14
Br: 0.2163 0.2127 0.0000  1 Sr 3.15
Br: 0.7837 0.7873 0.0000  1 Sr 3.15
Br: 0.7873 0.3551 0.7160  1 Sr 3.14
Br: 0.2127 0.9289 0.7160  1 Sr 3.14

---

(5)
The following is a PBE calculation of crystalline Cs3Sr2Br7 at its relaxed geometry, from Alexandria.

Computed properties:
Fermi-level density of states	0.0000	states/eV/atom
total magnetization	0.00	μB per formula unit
DFT total energy	-3.435	eV/atom
crystal system	tetragonal
formation energy (no corrections)	-1.9653	eV per atom
E above lowest polymorph	0.0	meV per atom
symmetry	I4/mmm, No. 139

Lattice parameters (Å, degrees): 6.0087 6.0087 15.6837 101.04 101.04 90.00
Closest atoms and distances in Å follow each position.
Fractional coordinates of all 12 atoms:
Cs: 0.3179 0.3179 0.6357  5 Br 3.56-3.96
Cs: 0.6821 0.6821 0.3643  5 Br 3.56-3.96
Cs: 0.5000 0.5000 0.0000  12 Br 4.19-4.25
Sr: 0.1009 0.1009 0.2019  6 Br 2.99-3.05
Sr: 0.8991 0.8991 0.7981  6 Br 2.99-3.05
Br: 0.0000 0.0000 0.0000  2 Sr 3.05
Br: 0.9033 0.4033 0.8065  2 Sr 3.01
Br: 0.4033 0.9033 0.8065  2 Sr 3.01
Br: 0.0967 0.5967 0.1935  2 Sr 3.01
Br: 0.5967 0.0967 0.1935  2 Sr 3.01
Br: 0.1999 0.1999 0.3999  1 Sr 2.99
Br: 0.8001 0.8001 0.6001  1 Sr 2.99

---

(6)
The following is a PBE calculation of crystalline CsSr2Br2 at its relaxed geometry, from Alexandria.

Computed properties:
Fermi-level density of states	0.7715	states/eV/atom
total magnetization	0.00	μB per formula unit
DFT total energy	-2.628	eV/atom
crystal system	tetragonal
formation energy (no corrections)	-1.1150	eV per atom
symmetry	I4/mmm, No. 139

Lattice parameters (Å, degrees): 5.7701 5.7701 8.3177 69.70 69.70 90.00
Closest atoms and distances in Å follow each position.
Fractional coordinates of all 5 atoms:
Cs: 0.0000 0.0000 0.0000  8 Sr 4.57, 8 Br 4.63
Sr: 0.3574 0.3574 0.2853  4 Br 3.28
Sr: 0.6426 0.6426 0.7147  4 Br 3.28
Br: 0.7500 0.2500 0.5000  4 Sr 3.28
Br: 0.2500 0.7500 0.5000  4 Sr 3.28

---

(7)
The following is a PBE calculation of crystalline CsSrBr2 at its relaxed geometry, from Alexandria.

Computed properties:
Fermi-level density of states	0.4316	states/eV/atom
total magnetization	0.00	μB per formula unit
DFT total energy	-2.935	eV/atom
crystal system	tetragonal
formation energy (no corrections)	-1.4651	eV per atom
E above lowest polymorph	80.3	meV per atom
symmetry	I-42d, No. 122

Lattice parameters (Å, degrees): 7.8029 7.8029 9.5976 66.01 66.01 90.00
Closest atoms and distances in Å follow each position.
Fractional coordinates of all 8 atoms:
Cs: 0.0000 0.0000 0.0000  4 Br 3.80
Cs: 0.7500 0.2500 0.5000  4 Br 3.80
Sr: 0.5000 0.5000 0.0000  4 Br 3.06
Sr: 0.2500 0.7500 0.5000  4 Br 3.06
Br: 0.5416 0.1250 0.2500  2 Sr 3.06
Br: 0.2084 0.6250 0.2500  2 Sr 3.06
Br: 0.3750 0.4584 0.7500  2 Sr 3.06
Br: 0.8750 0.7916 0.7500  2 Sr 3.06

---

(8)
The following is a PBE calculation of crystalline CsSr2Br at its relaxed geometry, from Alexandria.

Computed properties:
Fermi-level density of states	0.7922	states/eV/atom
total magnetization	0.00	μB per formula unit
DFT total energy	-1.629	eV/atom
crystal system	cubic
formation energy (no corrections)	-0.1568	eV per atom
E above lowest polymorph	274.1	meV per atom
symmetry	Fm-3m, No. 225

Lattice parameters (Å, degrees): 6.8731 6.8731 6.8731 60.00 60.00 60.00
Closest atoms and distances in Å follow each position.
Fractional coordinates of all 4 atoms:
Cs: 0.5000 0.5000 0.5000  8 Sr 4.21
Sr: 0.2500 0.2500 0.2500  4 Cs 4.21, 4 Br 4.21
Sr: 0.7500 0.7500 0.7500  4 Br 4.21, 4 Cs 4.21
Br: 0.0000 0.0000 0.0000  8 Sr 4.21

---

(9)
The following is a PBE calculation of crystalline Cs3Sr2Br7 at its relaxed geometry, from Alexandria.

Computed properties:
Fermi-level density of states	0.0000	states/eV/atom
total magnetization	0.00	μB per formula unit
DFT total energy	-3.407	eV/atom
crystal system	orthorhombic
formation energy (no corrections)	-1.9371	eV per atom
E above lowest polymorph	28.2	meV per atom
symmetry	Cmmm, No. 65

Lattice parameters (Å, degrees): 5.9189 6.0660 15.1014 101.59 90.00 90.00
Closest atoms and distances in Å follow each position.
Fractional coordinates of all 12 atoms:
Cs: 0.5000 0.5000 0.0000  12 Br 4.15-4.24
Cs: 0.5000 0.6853 0.3707  8 Br 3.92-4.27
Cs: 0.5000 0.3147 0.6293  8 Br 3.92-4.27
Sr: 0.0000 0.8966 0.7932  6 Br 2.96-3.06
Sr: 0.0000 0.1034 0.2068  6 Br 2.96-3.06
Br: 0.0000 0.4017 0.8033  2 Sr 3.04
Br: 0.0000 0.7959 0.5917  1 Sr 2.98
Br: 0.0000 0.0000 0.0000  2 Sr 3.06
Br: 0.0000 0.5983 0.1967  2 Sr 3.04
Br: 0.5000 0.1001 0.2003  2 Sr 2.96
Br: 0.5000 0.8999 0.7997  2 Sr 2.96
Br: 0.0000 0.2041 0.4083  1 Sr 2.98

---

(10)
The following is a PBE calculation of crystalline CsSr2Br5 at its relaxed geometry, from Alexandria.

Computed properties:
Fermi-level density of states	0.0000	states/eV/atom
total magnetization	0.04	μB per formula unit
DFT total energy	-3.617	eV/atom
crystal system	orthorhombic
formation energy (no corrections)	-2.0448	eV per atom
symmetry	Immm, No. 71

Lattice parameters (Å, degrees): 4.7495 7.7857 9.3750 114.53 104.67 90.00
Closest atoms and distances in Å follow each position.
Fractional coordinates of all 8 atoms:
Cs: 0.0000 0.0000 0.0000  10 Br 3.89-3.97
Sr: 0.1851 0.6851 0.3701  7 Br 3.03-3.18
Sr: 0.8149 0.3149 0.6299  7 Br 3.03-3.18
Br: 0.0000 0.5000 0.0000  2 Sr 3.03
Br: 0.6576 0.3976 0.3152  3 Sr 3.15-3.18
Br: 0.3424 0.6024 0.6848  3 Sr 3.15-3.18
Br: 0.6576 0.9175 0.3152  3 Sr 3.15-3.18
Br: 0.3424 0.0825 0.6848  3 Sr 3.15-3.18

---

(11)
The following is a PBE calculation of crystalline CsSrBr2 at its relaxed geometry, from Alexandria.

Computed properties:
Fermi-level density of states	0.8219	states/eV/atom
total magnetization	0.71	μB per formula unit
DFT total energy	-2.766	eV/atom
crystal system	cubic
formation energy (no corrections)	-1.2959	eV per atom
E above lowest polymorph	249.5	meV per atom
symmetry	Fm-3m, No. 225

Lattice parameters (Å, degrees): 6.0306 6.0306 6.0306 60.00 60.00 60.00
Closest atoms and distances in Å follow each position.
Fractional coordinates of all 4 atoms:
Cs: 0.5000 0.5000 0.5000  8 Br 3.69
Sr: 0.0000 0.0000 0.0000  8 Br 3.69
Br: 0.2500 0.2500 0.2500  4 Sr 3.69, 4 Cs 3.69
Br: 0.7500 0.7500 0.7500  4 Cs 3.69, 4 Sr 3.69

---

(12)
The following is a PBE calculation of crystalline CsSr4Br8 at its relaxed geometry, from Alexandria.

Computed properties:
Fermi-level density of states	0.5412	states/eV/atom
total magnetization	1.00	μB per formula unit
DFT total energy	-3.495	eV/atom
crystal system	hexagonal
formation energy (no corrections)	-1.8824	eV per atom
symmetry	P6_3/mmc, No. 194

Lattice parameters (Å, degrees): 8.6956 8.6956 18.5648 90.00 90.00 120.00
Closest atoms and distances in Å follow each position.
Fractional coordinates of all 26 atoms:
Cs: 0.0000 0.0000 0.0000  6 Br 3.76
Cs: 0.0000 0.0000 0.5000  6 Br 3.76
Sr: 0.4944 0.9889 0.2500  6 Br 3.07-3.15
Sr: 0.5056 0.4944 0.7500  6 Br 3.07-3.15
Sr: 0.9889 0.4944 0.7500  6 Br 3.07-3.15
Sr: 0.0111 0.5056 0.2500  6 Br 3.07-3.15
Sr: 0.4944 0.5056 0.2500  6 Br 3.07-3.15
Sr: 0.5056 0.0111 0.7500  6 Br 3.07-3.15
Sr: 0.0000 0.0000 0.2500  6 Br 3.14
Sr: 0.0000 0.0000 0.7500  6 Br 3.14
Br: 0.1682 0.3364 0.8503  3 Sr 3.14-3.15
Br: 0.6636 0.8318 0.8503  3 Sr 3.14-3.15
Br: 0.1682 0.8318 0.8503  3 Sr 3.14-3.15
Br: 0.8318 0.1682 0.3503  3 Sr 3.14-3.15
Br: 0.3364 0.1682 0.1497  3 Sr 3.14-3.15
Br: 0.8318 0.6636 0.3503  3 Sr 3.14-3.15
Br: 0.3364 0.1682 0.3503  3 Sr 3.14-3.15
Br: 0.1682 0.3364 0.6497  3 Sr 3.14-3.15
Br: 0.1682 0.8318 0.6497  3 Sr 3.14-3.15
Br: 0.8318 0.1682 0.1497  3 Sr 3.14-3.15
Br: 0.6667 0.3333 0.6483  3 Sr 3.07
Br: 0.3333 0.6667 0.1483  3 Sr 3.07
Br: 0.3333 0.6667 0.3517  3 Sr 3.07
Br: 0.6667 0.3333 0.8517  3 Sr 3.07
Br: 0.6636 0.8318 0.6497  3 Sr 3.14-3.15
Br: 0.8318 0.6636 0.1497  3 Sr 3.14-3.15